The following is a PBE with a Hubbard U calculation of Hg3WO after structural relaxation, from the Alexandria database.

Calculated values
The density of states at the Fermi level comes out at 0.445 states/eV per atom. Its space group is No. 221. The value obtained for the offset from the most stable computed form is 0.000 eV/atom. For the calculated volume, the calculation gives 22.052 Å³/atom. The value obtained for the magnetization is 4.2 μB/cell.

Unit cell a=4.7952 b=4.7952 c=4.7952 alpha=90.00 beta=90.00 gamma=90.00
Last column: nearest neighbours and their distance in Å.
Sites, in units of the cell vectors:
1 Hg 0.0000 0.0000 0.5000  2 O 2.40
2 Hg 0.0000 0.5000 0.0000  2 O 2.40
3 Hg 0.5000 0.0000 0.0000  2 O 2.40
4 W 0.5000 0.5000 0.5000  12 Hg 3.39
5 O 0.0000 0.0000 0.0000  6 Hg 2.40